Entry 1:
NaNd3Co: optimized geometry, PBE-GGA.

Summary:
**Space-group type**: Pm-3m, No. 221
**Calculated total energy**: -4.460 eV per atom
**Crystal system**: cubic
**Formation energy from the elements**: 85.7 meV per atom

abc: 5.475 5.475 5.475
angles: 90.00 90.00 90.00
Element x y z (fractional)
Co1 0.000 0.000 0.000
Nd1 0.000 0.500 0.000
Nd2 0.000 0.000 0.500
Nd3 0.500 0.000 0.000
Na1 0.500 0.500 0.500

=====

Entry 2:
SrTcSe4: optimized geometry, PBE-GGA.

Summary:
**Space-group type**: F-43m, No. 216
**Uncorrected formation energy**: 434 meV per atom
**Calculated total energy**: -3.897 eV per atom
**Crystal system**: cubic

abc: 5.869 5.869 5.869
angles: 60.00 60.00 60.00
Last column: magnetic moment on the atom in μB.
Element x y z (fractional)
Sr1 0.750 0.750 0.750  0.01
Tc1 0.000 0.000 0.000  3.23
Se1 0.878 0.374 0.374  0.00
Se2 0.374 0.374 0.878  0.00
Se3 0.374 0.878 0.374  0.00
Se4 0.374 0.374 0.374  0.00

=====

Entry 3:
AcPm7Sn4: optimized geometry, PBE-GGA.

Summary:
**Space-group type**: C2/m, No. 12
**Calculated total energy**: -4.730 eV per atom
**Crystal system**: monoclinic
**Formation energy from the elements**: -282.3 meV per atom

abc: 6.027 9.746 7.608
angles: 79.88 66.67 71.99
Element x y z (fractional)
Ac1 0.000 0.000 0.000
Pm1 0.787 0.886 0.540
Pm2 0.213 0.114 0.460
Pm3 0.055 0.625 0.264
Pm4 0.945 0.375 0.736
Pm5 0.320 0.602 0.758
Pm6 0.500 0.000 0.000
Pm7 0.680 0.398 0.242
Sn1 0.567 0.232 0.634
Sn2 0.433 0.768 0.366
Sn3 0.699 0.673 0.929
Sn4 0.301 0.327 0.071

=====

Entry 4:
AcTmTlRh: optimized geometry, PBE-GGA.

Summary:
**Space-group type**: F-43m, No. 216
**Calculated total energy**: -4.913 eV per atom
**Crystal system**: cubic
**Formation energy from the elements**: -338.6 meV per atom

abc: 5.328 5.328 5.328
angles: 60.00 60.00 60.00
Element x y z (fractional)
Ac1 0.000 0.000 0.000
Tm1 0.500 0.500 0.500
Rh1 0.750 0.750 0.750
Tl1 0.250 0.250 0.250

=====

Entry 5:
Ce2PmTmTe5: optimized geometry, PBE-GGA.

Summary:
**Space-group type**: P4/mmm, No. 123
**Uncorrected formation energy**: -864 meV per atom
**Calculated total energy**: -4.952 eV per atom
**Crystal system**: tetragonal

abc: 5.457 5.457 11.704
angles: 90.00 90.00 90.00
Last column: magnetic moment on the atom in μB.
Element x y z (fractional)
Ce1 0.500 0.500 0.319  1.37
Ce2 0.500 0.500 0.681  1.37
Pm1 0.000 0.000 0.000  0.03
Tm1 0.000 0.000 0.500  0.09
Te1 0.000 0.500 0.500  -0.01
Te2 0.500 0.000 0.500  -0.01
Te3 0.000 0.000 0.751  -0.01
Te4 0.000 0.000 0.249  -0.01
Te5 0.500 0.500 0.000  -0.01

=====

Entry 6:
NaLiBe2As2: optimized geometry, PBE-GGA.

Summary:
**Space-group type**: P-3m1, No. 164
**Calculated total energy**: -3.755 eV per atom
**Crystal system**: trigonal
**Formation energy from the elements**: -424.0 meV per atom

abc: 3.807 3.807 8.266
angles: 90.00 90.00 120.00
Element x y z (fractional)
Na1 0.000 0.000 0.000
Li1 0.000 0.000 0.500
Be1 0.667 0.333 0.282
Be2 0.333 0.667 0.718
As1 0.667 0.333 0.727
As2 0.333 0.667 0.273

=====

Entry 7:
CsZnAgSb: optimized geometry, PBE-GGA.

Summary:
**Space-group type**: P4/nmm, No. 129
**Uncorrected formation energy**: -113 meV per atom
**Calculated total energy**: -2.389 eV per atom
**Crystal system**: tetragonal

abc: 4.200 4.200 14.743
angles: 90.00 90.00 90.00
Element x y z (fractional)
Cs1 0.750 0.750 0.282
Cs2 0.250 0.250 0.718
Zn1 0.750 0.250 0.000
Zn2 0.250 0.750 0.000
Ag1 0.250 0.750 0.500
Ag2 0.750 0.250 0.500
Sb1 0.750 0.750 0.881
Sb2 0.250 0.250 0.119

=====

Entry 8:
HoMgInGa: optimized geometry, PBE-GGA.

Summary:
**Space-group type**: F-43m, No. 216
**Polymorph energy (0 for the lowest one)**: 97 meV per atom
**Calculated total energy**: -3.292 eV per atom
**Crystal system**: cubic
**Formation energy from the elements**: -307.9 meV per atom

abc: 5.057 5.057 5.057
angles: 60.00 60.00 60.00
Element x y z (fractional)
Mg1 0.500 0.500 0.500
Ho1 0.000 0.000 0.000
Ga1 0.250 0.250 0.250
In1 0.750 0.750 0.750

=====

Entry 9:
RbGeAs2Se: optimized geometry, PBE-GGA.

Summary:
**Space-group type**: P4/mmm, No. 123
**Polymorph energy (0 for the lowest one)**: 0 meV per atom
**Uncorrected formation energy**: 186 meV per atom
**Calculated total energy**: -3.488 eV per atom
**Crystal system**: tetragonal

abc: 5.116 5.116 5.399
angles: 90.00 90.00 90.00
Last column: magnetic moment on the atom in μB.
Element x y z (fractional)
As1 0.000 0.500 0.000  0.23
As2 0.500 0.000 0.000  0.23
Ge1 0.000 0.000 0.000  -0.01
Se1 0.000 0.000 0.500  0.14
Rb1 0.500 0.500 0.500  0.01

=====

Entry 10:
HfBeAg: optimized geometry, PBE-GGA.

Summary:
**Space-group type**: Cmcm, No. 63
**Polymorph energy (0 for the lowest one)**: 148 meV per atom
**Calculated total energy**: -5.515 eV per atom
**Crystal system**: orthorhombic
**Formation energy from the elements**: -4.6 meV per atom

abc: 3.467 10.040 5.495
angles: 90.00 90.00 90.00
Element x y z (fractional)
Be1 0.000 0.601 0.250
Be2 0.000 0.399 0.750
Be3 0.500 0.101 0.250
Be4 0.500 0.899 0.750
Hf1 0.000 0.294 0.250
Hf2 0.000 0.706 0.750
Hf3 0.500 0.794 0.250
Hf4 0.500 0.206 0.750
Ag1 0.000 0.000 0.000
Ag2 0.000 0.000 0.500
Ag3 0.500 0.500 0.000
Ag4 0.500 0.500 0.500

=====

Entry 11:
HfSc2Hg: optimized geometry, PBE-GGA.

Summary:
**Space-group type**: R3m, No. 160
**Calculated total energy**: -5.861 eV per atom
**Crystal system**: trigonal
**Formation energy from the elements**: -131.7 meV per atom

abc: 3.310 3.310 9.958
angles: 80.43 80.43 60.00
Element x y z (fractional)
Hf1 0.500 0.500 0.500
Sc1 0.082 0.082 0.754
Sc2 0.251 0.251 0.246
Hg1 0.667 0.667 0.000

=====

Entry 12:
MgSc2: optimized geometry, PBE-GGA.

Summary:
**Space-group type**: Immm, No. 71
**Calculated total energy**: -4.701 eV per atom
**Crystal system**: orthorhombic
**Formation energy from the elements**: 51.3 meV per atom

abc: 3.223 4.611 5.611
angles: 114.26 106.69 90.00
Last column: magnetic moment on the atom in μB.
Element x y z (fractional)
Mg1 0.000 0.000 0.000  0.00
Sc1 0.667 0.667 0.334  0.26
Sc2 0.333 0.333 0.666  0.26

=====

Entry 13:
BaMgNiGe2: optimized geometry, PBE-GGA.

Summary:
**Space-group type**: P4/mmm, No. 123
**Calculated total energy**: -1.966 eV per atom
**Crystal system**: tetragonal
**Formation energy from the elements**: 1740.7 meV per atom

abc: 5.743 6.085 5.743
angles: 90.00 90.00 90.00
Element x y z (fractional)
Mg1 0.000 0.500 0.000
Ni1 0.500 0.500 0.500
Ge1 0.000 0.000 0.500
Ge2 0.500 0.000 0.000
Ba1 0.000 0.000 0.000

=====

Entry 14:
KVSe2: optimized geometry, PBE-GGA.

Summary:
**Space-group type**: I-4m2, No. 119
**Uncorrected formation energy**: -814 meV per atom
**Calculated total energy**: -5.111 eV per atom
**Crystal system**: tetragonal

abc: 4.022 4.022 7.370
angles: 105.83 105.84 90.00
Last column: magnetic moment on the atom in μB.
Element x y z (fractional)
K1 0.221 0.882 0.228  0.00
V1 0.471 0.631 0.728  1.96
Se1 0.871 0.531 0.528  -0.10
Se2 0.571 0.231 0.928  -0.10

=====

Entry 15:
Y3BiS2: optimized geometry, PBE-GGA.

Summary:
**Space-group type**: Imma, No. 74
**Uncorrected formation energy**: -1262 meV per atom
**Calculated total energy**: -6.516 eV per atom
**Crystal system**: orthorhombic

abc: 8.366 7.836 7.836
angles: 54.75 57.73 57.73
Element x y z (fractional)
Y1 0.000 0.730 0.270
Y2 0.000 0.270 0.730
Y3 0.500 0.770 0.230
Y4 0.500 0.000 0.500
Y5 0.500 0.500 0.000
Y6 0.500 0.230 0.770
Bi1 0.155 0.250 0.250
Bi2 0.845 0.750 0.750
S1 0.276 0.937 0.937
S2 0.349 0.437 0.437
S3 0.651 0.563 0.563
S4 0.724 0.063 0.063

=====

Entry 16:
Rb2Na2Sn: optimized geometry, PBE-GGA.

Summary:
**Space-group type**: P4/mbm, No. 127
**Polymorph energy (0 for the lowest one)**: 40 meV per atom
**Calculated total energy**: -1.727 eV per atom
**Crystal system**: tetragonal
**Formation energy from the elements**: -12.2 meV per atom

abc: 8.370 8.370 6.456
angles: 90.00 90.00 90.00
Element x y z (fractional)
Na1 0.340 0.840 0.000
Na2 0.840 0.660 0.000
Na3 0.660 0.160 0.000
Na4 0.160 0.340 0.000
Sn1 0.000 0.000 0.000
Sn2 0.500 0.500 0.000
Rb1 0.192 0.692 0.500
Rb2 0.692 0.808 0.500
Rb3 0.808 0.308 0.500
Rb4 0.308 0.192 0.500

=====

Entry 17:
BaPtW: optimized geometry, PBE-GGA.

Summary:
**Space-group type**: Cmcm, No. 63
**Polymorph energy (0 for the lowest one)**: 160 meV per atom
**Calculated total energy**: -6.772 eV per atom
**Crystal system**: orthorhombic
**Formation energy from the elements**: 200.2 meV per atom

abc: 5.357 4.698 6.439
angles: 111.38 89.99 90.00
Element x y z (fractional)
Pt1 0.706 0.507 0.073
Pt2 0.206 0.507 0.073
Ba1 0.456 0.243 0.546
Ba2 0.956 0.770 0.600
W1 0.956 0.033 0.125
W2 0.456 0.980 0.020

=====

Entry 18:
CaInPb: optimized geometry, PBE-GGA.

Summary:
**Space-group type**: P3m1, No. 156
**Calculated total energy**: -2.970 eV per atom
**Crystal system**: trigonal
**Formation energy from the elements**: -153.5 meV per atom

abc: 3.774 3.774 7.613
angles: 90.00 90.00 120.00
Element x y z (fractional)
Pb1 0.333 0.667 0.656
Ca1 0.000 0.000 0.005
In1 0.667 0.333 0.338

=====

Entry 19:
PmHo2Er6Tm3: optimized geometry, PBE-GGA.

Summary:
**Space-group type**: C2/m, No. 12
**Calculated total energy**: -4.535 eV per atom
**Crystal system**: monoclinic
**Formation energy from the elements**: 22.7 meV per atom

abc: 6.085 6.085 11.650
angles: 94.99 94.99 119.94
Element x y z (fractional)
Pm1 0.000 0.000 0.000
Ho1 0.333 0.667 0.000
Ho2 0.667 0.333 0.000
Er1 0.915 0.582 0.748
Er2 0.751 0.751 0.252
Er3 0.085 0.418 0.252
Er4 0.582 0.915 0.748
Er5 0.249 0.249 0.748
Er6 0.418 0.085 0.252
Tm1 0.167 0.833 0.500
Tm2 0.833 0.167 0.500
Tm3 0.500 0.500 0.500

=====

Entry 20:
TbPrBeGa: optimized geometry, PBE-GGA.

Summary:
**Space-group type**: F-43m, No. 216
**Calculated total energy**: -4.215 eV per atom
**Crystal system**: cubic
**Formation energy from the elements**: -174.5 meV per atom

abc: 5.074 5.074 5.074
angles: 60.00 60.00 60.00
Element x y z (fractional)
Pr1 0.000 0.000 0.000
Be1 0.250 0.250 0.250
Tb1 0.500 0.500 0.500
Ga1 0.750 0.750 0.750

=====

Entry 21:
Sc2Ti4S9: optimized geometry, PBE-GGA.

Summary:
**Space-group type**: P-3c1, No. 165
**Uncorrected formation energy**: -1488 meV per atom
**Calculated total energy**: -6.914 eV per atom
**Crystal system**: trigonal

abc: 6.187 6.187 17.241
angles: 90.00 90.00 60.00
Last column: magnetic moment on the atom in μB.
Element x y z (fractional)
Sc1 0.000 0.000 0.342  0.04
Sc2 0.000 0.000 0.158  0.04
Sc3 0.000 0.000 0.658  0.04
Sc4 0.000 0.000 0.842  0.04
Ti1 0.333 0.333 0.000  0.02
Ti2 0.334 0.333 0.500  0.02
Ti3 0.667 0.667 0.000  0.02
Ti4 0.333 0.333 0.170  0.25
Ti5 0.666 0.667 0.500  0.02
Ti6 0.667 0.667 0.330  0.25
Ti7 0.333 0.333 0.670  0.25
Ti8 0.667 0.667 0.830  0.25
S1 0.000 0.331 0.750  -0.01
S2 0.331 0.669 0.750  -0.01
S3 0.669 0.000 0.750  -0.01
S4 0.000 0.669 0.250  -0.01
S5 0.669 0.331 0.250  -0.01
S6 0.331 0.000 0.250  -0.01
S7 0.652 0.992 0.417  -0.01
S8 0.992 0.356 0.417  -0.01
S9 0.356 0.652 0.417  -0.01
S10 0.644 0.008 0.083  -0.01
S11 0.348 0.644 0.083  -0.01
S12 0.008 0.348 0.083  -0.01
S13 0.348 0.008 0.583  -0.01
S14 0.008 0.644 0.583  -0.01
S15 0.644 0.348 0.583  -0.01
S16 0.356 0.992 0.917  -0.01
S17 0.652 0.356 0.917  -0.01
S18 0.992 0.652 0.917  -0.01

=====

Entry 22:
Tc2SbPt: optimized geometry, PBE-GGA.

Summary:
**Space-group type**: I-4m2, No. 119
**Uncorrected formation energy**: 74 meV per atom
**Calculated total energy**: -7.650 eV per atom
**Crystal system**: tetragonal

abc: 4.874 4.874 4.874
angles: 131.04 131.04 71.75
Element x y z (fractional)
Pt1 0.500 0.500 0.000
Sb1 0.750 0.250 0.500
Tc1 0.000 0.000 0.000
Tc2 0.250 0.750 0.500

=====

Entry 23:
LiAlCr2: optimized geometry, PBE-GGA.

Summary:
**Space-group type**: I4/mmm, No. 139
**Calculated total energy**: -6.021 eV per atom
**Crystal system**: tetragonal
**Formation energy from the elements**: 204.8 meV per atom

abc: 4.835 4.835 4.835
angles: 138.41 138.41 60.28
Element x y z (fractional)
Al1 0.250 0.750 0.500
Cr1 0.000 0.000 0.000
Cr2 0.500 0.500 0.000
Li1 0.750 0.250 0.500

=====

Entry 24:
Y2AsRu: optimized geometry, PBE-GGA.

Summary:
**Space-group type**: I-42d, No. 122
**Calculated total energy**: -7.006 eV per atom
**Crystal system**: tetragonal
**Formation energy from the elements**: -292.1 meV per atom

abc: 7.510 7.510 6.251
angles: 53.08 53.08 90.00
Element x y z (fractional)
Y1 0.645 0.125 0.250
Y2 0.105 0.625 0.250
Y3 0.375 0.355 0.750
Y4 0.875 0.895 0.750
Ru1 0.000 0.000 0.000
Ru2 0.750 0.250 0.500
As1 0.500 0.500 0.000
As2 0.250 0.750 0.500

=====

Entry 25:
TiTlBi2: optimized geometry, PBE-GGA.

Summary:
**Space-group type**: I-42d, No. 122
**Polymorph energy (0 for the lowest one)**: 323 meV per atom
**Calculated total energy**: -4.208 eV per atom
**Crystal system**: tetragonal
**Formation energy from the elements**: 298.2 meV per atom

abc: 6.693 6.693 8.445
angles: 66.66 66.66 90.00
Element x y z (fractional)
Tl1 0.000 0.000 0.000
Tl2 0.750 0.250 0.500
Bi1 0.565 0.125 0.250
Bi2 0.185 0.625 0.250
Bi3 0.375 0.435 0.750
Bi4 0.875 0.815 0.750
Ti1 0.500 0.500 0.000
Ti2 0.250 0.750 0.500